A geometry-optimized DyNi6 structure. Source: Alexandria, functional PBE.

Properties
- E above lowest polymorph (meV/atom) = 0
- density (g/cm³) = 9.3
- electronic total energy (eV/atom) = -5.82
- V (Å³ per cell) = 366.7

a b c (Å): 7.7704 4.8310 9.7689
angles (deg): 90.00 90.00 90.00
Closest atoms and distances in Å follow each position.
Fractional positions:
Dy: 0.2416 0.2500 0.0610  10 Ni 2.73-3.01
Dy: 0.2584 0.7500 0.5610  10 Ni 2.73-3.01
Dy: 0.7416 0.2500 0.4390  10 Ni 2.73-3.01
Dy: 0.7584 0.7500 0.9390  10 Ni 2.73-3.01
Ni: 0.0616 0.7500 0.0918  5 Ni 2.40-2.57
Ni: 0.0675 0.0061 0.3082  9 Ni 2.36-2.58
Ni: 0.0675 0.4939 0.3082  9 Ni 2.36-2.58
Ni: 0.1030 0.2500 0.5188  6 Ni 2.39-2.53
Ni: 0.1478 0.7500 0.8522  8 Ni 2.44-2.60
Ni: 0.1817 0.2500 0.7576  9 Ni 2.36-2.60
Ni: 0.3183 0.7500 0.2576  9 Ni 2.36-2.60
Ni: 0.3522 0.2500 0.3522  8 Ni 2.44-2.60
Ni: 0.3970 0.7500 0.0188  6 Ni 2.39-2.53
Ni: 0.4325 0.5061 0.8082  9 Ni 2.36-2.58
Ni: 0.4325 0.9939 0.8082  9 Ni 2.36-2.58
Ni: 0.4384 0.2500 0.5918  5 Ni 2.40-2.57
Ni: 0.5616 0.7500 0.4082  5 Ni 2.40-2.57
Ni: 0.5675 0.0061 0.1918  9 Ni 2.36-2.58
Ni: 0.5675 0.4939 0.1918  9 Ni 2.36-2.58
Ni: 0.6030 0.2500 0.9812  6 Ni 2.39-2.53
Ni: 0.6478 0.7500 0.6478  8 Ni 2.44-2.60
Ni: 0.6817 0.2500 0.7424  9 Ni 2.36-2.60
Ni: 0.8183 0.7500 0.2424  9 Ni 2.36-2.60
Ni: 0.8522 0.2500 0.1478  8 Ni 2.44-2.60
Ni: 0.8970 0.7500 0.4812  6 Ni 2.39-2.53
Ni: 0.9325 0.5061 0.6918  9 Ni 2.36-2.58
Ni: 0.9325 0.9939 0.6918  9 Ni 2.36-2.58
Ni: 0.9384 0.2500 0.9082  5 Ni 2.40-2.57